(1)
A plane-wave DFT calculation with PBEsol was carried out for a relaxed Li3PdPt crystal.

Geometry as POSCAR:
```
Li3PdPt
1.0
-1.827 -2.671 -3.133
-2.361 -2.128 3.191
-3.373 2.937 -0.537
Pd Li Pt
1 3 1
Direct
0.500 0.500 0.500
0.000 0.500 0.000
0.500 0.000 0.000
0.000 0.000 0.500
0.000 0.000 0.000
```

(2)
A plane-wave DFT calculation with PBEsol was carried out for a relaxed LiRePdPt2 crystal.

Geometry as POSCAR:
```
LiRePdPt2
1.0
-1.176 0.519 3.847
-3.687 -1.767 -0.889
1.562 -3.755 0.984
Li Pd Pt Re
1 1 2 1
Direct
0.000 0.000 0.000
0.500 0.000 0.000
0.000 0.000 0.500
0.000 0.500 0.000
0.500 0.500 0.500
```

(3)
A plane-wave DFT calculation with PBEsol was carried out for a relaxed RbLi3Pd crystal.

Geometry as POSCAR:
```
RbLi3Pd
1.0
5.060 0.000 0.000
0.000 5.060 0.000
0.000 0.000 5.060
Rb Li Pd
1 3 1
Direct
0.500 0.500 0.500
0.000 0.500 0.000
0.000 0.000 0.500
0.500 0.000 0.000
0.000 0.000 0.000
```

(4)
A plane-wave DFT calculation with PBEsol was carried out for a relaxed RbLi2Pd2 crystal.

Geometry as POSCAR:
```
RbLi2Pd2
1.0
-3.552 0.701 2.834
-0.920 -4.504 -0.039
5.217 1.259 2.498
Pd Rb Li
2 1 2
Direct
0.632 0.632 0.264
0.368 0.368 0.736
0.000 0.000 0.000
0.250 0.750 0.500
0.750 0.250 0.500
```

(5)
A plane-wave DFT calculation with PBEsol was carried out for a relaxed RbLiPd2Ru crystal.

Geometry as POSCAR:
```
RbLiPd2Ru
1.0
-4.359 -0.908 1.805
-1.757 -0.413 -4.452
1.034 -4.874 0.045
Pd Ru Li Rb
2 1 1 1
Direct
0.000 0.500 0.000
0.500 0.000 0.000
0.000 0.000 0.000
0.000 0.000 0.500
0.500 0.500 0.500
```

(6)
A plane-wave DFT calculation with PBEsol was carried out for a relaxed LiSiPdRh2 crystal.

Geometry as POSCAR:
```
LiSiPdRh2
1.0
4.306 0.000 0.000
0.000 4.306 0.000
0.000 0.000 4.316
Li Rh Si Pd
1 2 1 1
Direct
0.000 0.000 0.500
0.500 0.000 0.000
0.000 0.500 0.000
0.000 0.000 0.000
0.500 0.500 0.500
```

(7)
A plane-wave DFT calculation with PBEsol was carried out for a relaxed Li2SbPd2 crystal.

Geometry as POSCAR:
```
Li2SbPd2
1.0
3.510 0.000 0.000
0.000 3.510 0.000
-1.755 -1.755 6.688
Sb Li Pd
1 2 2
Direct
0.000 0.000 0.000
0.750 0.250 0.500
0.250 0.750 0.500
0.397 0.397 0.795
0.603 0.603 0.205
```

(8)
A plane-wave DFT calculation with PBEsol was carried out for a relaxed LiSbPd3 crystal.

Geometry as POSCAR:
```
LiSbPd3
1.0
4.898 0.000 0.000
0.000 4.898 0.000
0.000 0.000 4.898
Pd Sb Li
3 1 1
Direct
0.500 0.000 0.000
0.000 0.500 0.000
0.000 0.000 0.500
0.000 0.000 0.000
0.500 0.500 0.500
```

(9)
A plane-wave DFT calculation with PBEsol was carried out for a relaxed Li2Sb2Pd crystal.

Geometry as POSCAR:
```
Li2Sb2Pd
1.0
4.440 0.000 0.000
0.000 6.833 0.000
0.000 0.000 6.833
Sb Li Pd
4 4 2
Direct
0.000 0.852 0.648
0.000 0.352 0.852
0.000 0.648 0.148
0.000 0.148 0.352
0.500 0.339 0.161
0.500 0.839 0.339
0.500 0.161 0.661
0.500 0.661 0.839
0.000 0.500 0.500
0.000 0.000 0.000
```

(10)
A plane-wave DFT calculation with PBEsol was carried out for a relaxed Li2SbPd crystal.

Geometry as POSCAR:
```
Li2SbPd
1.0
4.449 0.000 0.000
2.224 3.853 0.000
2.224 1.284 3.632
Sb Li Pd
1 2 1
Direct
0.000 0.000 0.000
0.500 0.500 0.500
0.750 0.750 0.750
0.250 0.250 0.250
```

(11)
A plane-wave DFT calculation with PBEsol was carried out for a relaxed Li2TlSbPd crystal.

Geometry as POSCAR:
```
Li2TlSbPd
1.0
-0.391 -4.499 -1.599
2.987 -1.482 3.440
-3.886 -0.747 3.052
Li Tl Pd Sb
2 1 1 1
Direct
0.000 0.500 0.000
0.500 0.000 0.000
0.000 0.000 0.000
0.000 0.000 0.500
0.500 0.500 0.500
```

(12)
A plane-wave DFT calculation with PBEsol was carried out for a relaxed Li2PdSe2 crystal.

Geometry as POSCAR:
```
Li2PdSe2
1.0
-1.039 -2.951 -2.288
5.475 -3.366 1.854
-3.398 -2.735 5.071
Li Pd Se
4 2 4
Direct
0.500 0.351 0.149
0.500 0.649 0.851
0.500 0.851 0.351
0.500 0.149 0.649
0.000 0.000 0.000
0.000 0.500 0.500
0.000 0.165 0.335
0.000 0.835 0.665
0.000 0.665 0.165
0.000 0.335 0.835
```

For the records above, the corresponding magnetic moment values read 0.0, 3.4, 0.0, 0.0, 0.0, 0.0, 0.0, 0.0, 0.0, 0.0, 0.0, 0.0 μB per formula unit.
For the records above, the corresponding energy values read -3.49, -6.24, -2.57, -3.32, -4.30, -5.66, -4.27, -4.64, -4.28, -4.28, -3.16, -4.27 eV/atom.
For the records above, the corresponding D(E_F) values read 0.445, 0.860, 0.403, 0.316, 0.911, 1.071, 0.386, 0.793, 0.280, 0.317, 0.297, 0.351 states/eV/atom.